No. 1
# Tl4GeSe5

A relaxed Tl4GeSe5 crystal (PBE, the Alexandria database).

Computed properties:
**SG**: I4, No. 79
**Formation energy from raw total energies**: -0.246 eV per atom

Unit cell a=7.3356 b=7.3356 c=7.3356 alpha=101.20 beta=101.20 gamma=127.71
Element x y z (fractional)
Tl  0.0855  0.3094  0.3950
Tl  0.3094  0.9145  0.2239
Tl  0.6906  0.0855  0.7761
Tl  0.9145  0.6906  0.6050
Ge  0.5486  0.5486  0.0000
Se  0.2150  0.5800  0.8329
Se  0.3821  0.2150  0.6350
Se  0.5800  0.7471  0.3650
Se  0.7471  0.3821  0.1671
Se  0.9303  0.9303  0.0000

No. 2
# TlGeSe3

A relaxed TlGeSe3 crystal (PBE, the Alexandria database).

Computed properties:
**SG**: P2_1/c, No. 14
**Formation energy from raw total energies**: -0.192 eV per atom

Unit cell a=12.3033 b=7.7199 c=7.1181 alpha=90.00 beta=106.49 gamma=90.00
Element x y z (fractional)
Tl  0.0218  0.2495  0.0124
Tl  0.0218  0.2505  0.5124
Tl  0.9782  0.7495  0.4876
Tl  0.9782  0.7505  0.9876
Ge  0.4131  0.1420  0.0157
Ge  0.4131  0.3580  0.5157
Ge  0.5869  0.6420  0.4843
Ge  0.5869  0.8580  0.9843
Se  0.1070  0.5238  0.3025
Se  0.1070  0.9762  0.8025
Se  0.3223  0.1374  0.2802
Se  0.3223  0.3626  0.7802
Se  0.3827  0.6440  0.3778
Se  0.3827  0.8560  0.8778
Se  0.6173  0.1440  0.1222
Se  0.6173  0.3560  0.6222
Se  0.6777  0.6374  0.2198
Se  0.6777  0.8626  0.7198
Se  0.8930  0.0238  0.1975
Se  0.8930  0.4762  0.6975

Which of these has the lowest formation energy from raw total energies? Tl4GeSe5

Among the records above, which one has the highest formation energy from raw total energies? TlGeSe3

What is the formula in the first record? Tl4GeSe5

Among the records above, which one has the lowest formation energy from raw total energies? Tl4GeSe5